1.
SmTaO4F (PBE, relaxed); formation energy without anion corrections = -65.49 kcal/mol of atoms
1.0
-3.793 -4.082 -2.652
2.285 -5.580 1.313
-3.939 -1.541 5.456
O F Sm Ta
8 2 2 2
Direct
0.699 0.699 0.435
0.566 0.566 0.241
0.301 0.301 0.565
0.494 0.120 0.157
0.434 0.434 0.759
0.120 0.494 0.157
0.880 0.506 0.843
0.506 0.880 0.843
0.012 0.012 0.186
0.988 0.988 0.814
0.195 0.195 0.920
0.805 0.805 0.080
0.628 0.628 0.709
0.372 0.372 0.291

2.
HoTlCdIn (PBE, relaxed); ΔE to the lowest computed polymorph = 0.0 meV/atom; energy of formation = -0.290 eV/atom; DOS at the Fermi energy = 2.106 states/eV per cell
1.0
4.647 0.000 0.000
0.000 4.559 0.000
0.000 0.000 4.681
In Cd Ho Tl
1 1 1 1
Direct
0.500 0.500 0.000
0.000 0.000 0.000
0.500 0.000 0.500
0.000 0.500 0.500

3.
NaTl2Sn2 (PBE, relaxed); ΔE to the lowest computed polymorph = 68.3 meV/atom; energy of formation = 0.024 eV/atom; DOS at the Fermi energy = 6.716 states/eV per cell
1.0
9.098 0.000 0.000
0.000 9.098 0.000
0.000 0.000 3.687
Sn Tl Na
4 4 2
Direct
0.863 0.363 0.500
0.363 0.137 0.500
0.137 0.637 0.500
0.637 0.863 0.500
0.158 0.342 0.000
0.842 0.658 0.000
0.342 0.842 0.000
0.658 0.158 0.000
0.500 0.500 0.000
0.000 0.000 0.000

4.
Sr2RhW (PBE, relaxed); ΔE to the lowest computed polymorph = 644.0 meV/atom; energy of formation = 1.036 eV/atom; DOS at the Fermi energy = 3.497 states/eV per cell
1.0
-0.367 5.153 1.828
-2.994 -0.782 4.523
4.622 -2.639 -1.307
Sr W Rh
2 1 1
Direct
0.500 0.500 0.000
0.000 0.000 0.000
0.250 0.750 0.500
0.750 0.250 0.500

5.
Zr2Tl2Te (PBE, relaxed); ΔE to the lowest computed polymorph = 0.0 meV/atom; DOS at the Fermi energy = 7.026 states/eV per cell; formation energy without anion corrections = -5.13 kcal/mol of atoms
1.0
-6.813 -0.620 -3.095
-1.956 -4.950 5.296
-1.497 3.390 2.616
Tl Te Zr
4 2 4
Direct
0.657 0.843 0.500
0.843 0.343 0.500
0.157 0.657 0.500
0.343 0.157 0.500
0.000 0.000 0.000
0.500 0.500 0.000
0.649 0.149 0.000
0.851 0.649 0.000
0.351 0.851 0.000
0.149 0.351 0.000

6.
ScAuIO2 (PBE, relaxed); ΔE to the lowest computed polymorph = 1155.2 meV/atom; DOS at the Fermi energy = 2.505 states/eV per cell; formation energy without anion corrections = 0.66 kcal/mol of atoms
1.0
4.245 0.000 0.000
0.000 4.245 0.000
0.000 0.000 5.354
I O Au Sc
1 2 1 1
Direct
0.000 0.000 0.500
0.500 0.000 0.000
0.000 0.500 0.000
0.000 0.000 0.000
0.500 0.500 0.500

7.
Y4Ga12Fe (PBE, relaxed); energy of formation = -0.539 eV/atom; DOS at the Fermi energy = 8.071 states/eV per cell
1.0
-1.779 -2.054 -6.931
6.076 -3.696 2.202
-5.655 -1.568 4.581
Fe Ga Y
1 12 4
Direct
0.000 0.000 0.000
0.000 0.715 0.715
0.285 0.000 0.285
0.285 0.285 0.000
0.750 0.500 0.250
0.500 0.250 0.750
0.500 0.750 0.250
0.000 0.285 0.285
0.715 0.000 0.715
0.750 0.250 0.500
0.250 0.750 0.500
0.715 0.715 0.000
0.250 0.500 0.750
0.000 0.000 0.500
0.000 0.500 0.000
0.500 0.000 0.000
0.500 0.500 0.500

8.
Zr3TaRh (PBE, relaxed); ΔE to the lowest computed polymorph = 0.0 meV/atom; energy of formation = 0.608 eV/atom; DOS at the Fermi energy = 8.000 states/eV per cell
1.0
4.955 0.000 0.000
0.000 4.955 0.000
0.000 0.000 4.955
Ta Zr Rh
1 3 1
Direct
0.500 0.500 0.500
0.000 0.500 0.000
0.500 0.000 0.000
0.000 0.000 0.500
0.000 0.000 0.000

9.
Nd7Ga2Ir2 (PBE, relaxed); energy of formation = -0.399 eV/atom; DOS at the Fermi energy = 9.623 states/eV per cell
1.0
6.879 -0.003 -0.868
0.003 7.151 0.003
-1.295 -0.002 6.812
Nd Ir Ga
7 2 2
Direct
0.500 0.743 0.500
0.000 0.261 0.500
0.500 0.261 0.000
0.000 0.739 0.500
0.500 0.739 0.000
0.000 0.000 0.000
0.500 0.257 0.500
0.706 0.000 0.294
0.294 0.000 0.706
0.839 0.500 0.839
0.161 0.500 0.161

10.
Ba2Tl4InAg3 (PBE, relaxed); energy of formation = -0.208 eV/atom; DOS at the Fermi energy = 7.166 states/eV per cell
1.0
4.870 0.000 0.000
0.000 4.870 0.000
0.000 0.000 12.472
Tl Ag Ba In
4 3 2 1
Direct
0.000 0.500 0.362
0.500 0.000 0.638
0.000 0.000 0.000
0.500 0.500 0.000
0.000 0.000 0.500
0.500 0.000 0.865
0.000 0.500 0.135
0.500 0.000 0.248
0.000 0.500 0.752
0.500 0.500 0.500

11.
Li2MnSe (PBE, relaxed); DOS at the Fermi energy = 2.442 states/eV per cell; formation energy without anion corrections = -5.96 kcal/mol of atoms
1.0
-3.188 1.996 -3.141
-1.082 -2.935 -3.772
0.081 -0.569 4.867
Li Se Mn
2 1 1
Direct
0.001 0.001 0.000
0.750 0.250 0.500
0.251 0.751 0.500
0.498 0.498 0.000

12.
PrZr2ReC4 (PBE, relaxed); energy of formation = -0.297 eV/atom; DOS at the Fermi energy = 7.365 states/eV per cell
1.0
3.395 0.000 0.000
-1.697 5.959 0.000
0.000 0.000 11.667
C Zr Pr Re
8 4 2 2
Direct
0.261 0.522 0.383
0.574 0.149 0.250
0.739 0.478 0.883
0.000 0.000 0.500
0.261 0.522 0.117
0.426 0.851 0.750
0.000 0.000 0.000
0.739 0.478 0.617
0.370 0.741 0.539
0.630 0.259 0.461
0.630 0.259 0.039
0.370 0.741 0.961
0.904 0.808 0.250
0.096 0.192 0.750
0.166 0.333 0.250
0.834 0.667 0.750